No. 1
Hg2IN2 | PBE | relaxed

Output
uncorrected formation energy	1.19	eV per atom
density	9.2	Mg/m³
total moment	0.0	μB/f.u.
total energy	-2.57	eV/atom
E above lowest polymorph	0.0	meV/atom

Cell: 3.3572 3.7464 8.2183 Å, 76.85 89.77 88.45°
Sites, in units of the cell vectors:
Hg (0.0009, 0.3190, 0.3613)
Hg (0.9991, 0.6810, 0.6387)
I (0.5000, 0.0000, 0.0000)
N (0.0008, 0.9018, 0.1944)
N (0.9992, 0.0982, 0.8056)

No. 2
Tl2NiTe | PBE | relaxed

Output
uncorrected formation energy	0.46	eV per atom
density	9.5	Mg/m³
total moment	0.5	μB/f.u.
total energy	-2.95	eV/atom
E above lowest polymorph	546.4	meV/atom

Cell: 5.2821 5.2821 5.2821 Å, 60.00 60.00 60.00°
Sites, in units of the cell vectors:
Tl (0.2500, 0.2500, 0.2500)
Tl (0.7500, 0.7500, 0.7500)
Ni (0.0000, 0.0000, 0.0000)
Te (0.5000, 0.5000, 0.5000)

No. 3
BaCdTe2 | PBE | relaxed

Output
uncorrected formation energy	-1.00	eV per atom
density	4.9	Mg/m³
total moment	0.0	μB/f.u.
total energy	-3.28	eV/atom

Cell: 5.0515 4.8167 7.1635 Å, 90.00 98.76 90.00°
Sites, in units of the cell vectors:
Ba (0.0000, 0.0000, 0.0000)
Cd (0.2230, 0.5000, 0.6045)
Te (0.4955, 0.5000, 0.9783)
Te (0.9549, 0.0000, 0.4833)

No. 4
RbHgBrCl2 | PBE | relaxed

Output
uncorrected formation energy	-1.09	eV per atom
density	4.3	Mg/m³
total moment	0.0	μB/f.u.
total energy	-2.42	eV/atom
E above lowest polymorph	0.0	meV/atom

Cell: 8.5255 8.5255 8.9410 Å, 90.00 90.00 148.76°
Sites, in units of the cell vectors:
Rb (0.2061, 0.7939, 0.7500)
Rb (0.7939, 0.2061, 0.2500)
Hg (0.5000, 0.5000, 0.0000)
Hg (0.5000, 0.5000, 0.5000)
Br (0.0051, 0.9949, 0.2500)
Br (0.9949, 0.0051, 0.7500)
Cl (0.3521, 0.6479, 0.0070)
Cl (0.3521, 0.6479, 0.4930)
Cl (0.6479, 0.3521, 0.5070)
Cl (0.6479, 0.3521, 0.9930)

No. 5
Nb2InAs2 | PBE | relaxed

Output
density	6.9	Mg/m³
total moment	0.0	μB/f.u.
total energy	-6.32	eV/atom
E above lowest polymorph	400.5	meV/atom
energy relative to the elements	0.6	eV/f.u.

Cell: 6.1090 6.1090 6.1090 Å, 135.86 135.86 64.19°
Sites, in units of the cell vectors:
Nb (0.1258, 0.1258, 0.0000)
Nb (0.8742, 0.8742, 0.0000)
In (0.5000, 0.5000, 0.0000)
As (0.2500, 0.7500, 0.5000)
As (0.7500, 0.2500, 0.5000)

No. 6
CaPmTm4Se8 | PBE | relaxed

Output
uncorrected formation energy	-1.78	eV per atom
density	5.9	Mg/m³
total moment	0.0	μB/f.u.
total energy	-5.53	eV/atom

Cell: 8.4534 8.4534 8.4534 Å, 59.46 59.46 59.46°
Sites, in units of the cell vectors:
Ca (0.0000, 0.0000, 0.0000)
Pm (0.6285, 0.6285, 0.6285)
Tm (0.1203, 0.6284, 0.6284)
Tm (0.2522, 0.2522, 0.2522)
Tm (0.6284, 0.1203, 0.6284)
Tm (0.6284, 0.6284, 0.1203)
Se (0.3779, 0.3779, 0.8568)
Se (0.3779, 0.8568, 0.3779)
Se (0.3847, 0.3847, 0.3847)
Se (0.4053, 0.8726, 0.8726)
Se (0.8568, 0.3779, 0.3779)
Se (0.8653, 0.8653, 0.8653)
Se (0.8726, 0.4053, 0.8726)
Se (0.8726, 0.8726, 0.4053)

No. 7
ScIn2Cu | PBE | relaxed

Output
density	6.7	Mg/m³
total moment	0.0	μB/f.u.
total energy	-4.12	eV/atom
energy relative to the elements	-0.6	eV/f.u.

Cell: 3.2228 4.4967 5.8628 Å, 90.00 98.42 90.00°
Sites, in units of the cell vectors:
Sc (0.0000, 0.0000, 0.0000)
In (0.4038, 0.5000, 0.7422)
In (0.5962, 0.5000, 0.2578)
Cu (0.5000, 0.0000, 0.5000)

No. 8
Ba4H3N4 | PBE | relaxed

Output
density	4.6	Mg/m³
total moment	0.0	μB/f.u.
total energy	-4.95	eV/atom

Cell: 8.9421 8.9421 8.9421 Å, 154.03 134.60 53.04°
Sites, in units of the cell vectors:
Ba (0.2125, 0.2125, 0.0000)
Ba (0.2539, 0.0000, 0.2539)
Ba (0.7461, 0.0000, 0.7461)
Ba (0.7875, 0.7875, 0.0000)
H (0.0815, 0.5815, 0.5000)
H (0.5000, 0.5000, 0.0000)
H (0.9185, 0.4185, 0.5000)
N (0.2391, 0.8301, 0.4090)
N (0.4212, 0.8301, 0.5910)
N (0.5788, 0.1699, 0.4090)
N (0.7609, 0.1699, 0.5910)

No. 9
Er7Al5Au | PBE | relaxed

Output
density	7.9	Mg/m³
total moment	0.0	μB/f.u.
total energy	-4.40	eV/atom
energy relative to the elements	-3.3	eV/f.u.

Cell: 7.7820 7.7820 7.7820 Å, 133.09 102.81 95.46°
Sites, in units of the cell vectors:
Er (0.0000, 0.0000, 0.0000)
Er (0.2794, 0.5838, 0.6956)
Er (0.3796, 0.3796, 0.0000)
Er (0.4111, 0.0775, 0.3336)
Er (0.7438, 0.0775, 0.6664)
Er (0.8306, 0.3306, 0.5000)
Er (0.8882, 0.5838, 0.3044)
Al (0.0788, 0.0563, 0.4654)
Al (0.0788, 0.6134, 0.0225)
Al (0.3238, 0.8238, 0.5000)
Al (0.5909, 0.0563, 0.9775)
Al (0.5909, 0.6134, 0.5346)
Au (0.6851, 0.6851, 0.0000)

No. 10
LaPr6Nd5 | PBE | relaxed

Output
density	6.5	Mg/m³
total moment	0.0	μB/f.u.
total energy	-4.77	eV/atom
E above lowest polymorph	0.0	meV/atom
energy relative to the elements	0.1	eV/f.u.

Cell: 8.2998 8.2998 10.4766 Å, 90.03 90.03 143.16°
Sites, in units of the cell vectors:
La (0.0000, 0.0000, 0.0000)
Pr (0.1666, 0.8332, 0.2507)
Pr (0.1668, 0.8334, 0.7492)
Pr (0.5000, 0.5000, 0.2512)
Pr (0.5000, 0.5000, 0.7488)
Pr (0.8332, 0.1666, 0.2507)
Pr (0.8334, 0.1668, 0.7492)
Nd (0.0000, 0.0000, 0.5000)
Nd (0.3324, 0.6676, 0.0000)
Nd (0.3331, 0.6669, 0.5000)
Nd (0.6669, 0.3331, 0.5000)
Nd (0.6676, 0.3324, 0.0000)

No. 11
Pm2Pu3UP6 | PBE | relaxed

Output
density	8.7	Mg/m³
total moment	13.6	μB/f.u.
total energy	-9.26	eV/atom
energy relative to the elements	-14.9	eV/f.u.

Cell: 8.9846 8.9846 8.0562 Å, 102.60 102.60 25.90°
Sites, in units of the cell vectors:
Pm (0.1663, 0.1663, 0.3348)
Pm (0.8337, 0.8337, 0.6652)
Pu (0.1684, 0.1684, 0.8334)
Pu (0.5000, 0.5000, 0.5000)
Pu (0.8316, 0.8316, 0.1666)
U (0.5000, 0.5000, 0.0000)
P (0.0032, 0.0032, 0.7581)
P (0.3361, 0.3361, 0.4075)
P (0.3362, 0.3362, 0.9262)
P (0.6638, 0.6638, 0.0738)
P (0.6639, 0.6639, 0.5925)
P (0.9968, 0.9968, 0.2419)

No. 12
KNa4Tl3 | PBE | relaxed

Output
density	4.5	Mg/m³
total moment	0.0	μB/f.u.
total energy	-1.76	eV/atom
energy relative to the elements	-0.6	eV/f.u.

Cell: 8.0662 8.0662 6.6835 Å, 99.59 99.59 40.00°
Sites, in units of the cell vectors:
K (0.0000, 0.0000, 0.0000)
Na (0.1230, 0.1230, 0.5329)
Na (0.2865, 0.2865, 0.1783)
Na (0.7135, 0.7135, 0.8217)
Na (0.8770, 0.8770, 0.4671)
Tl (0.3338, 0.3338, 0.7092)
Tl (0.5000, 0.5000, 0.5000)
Tl (0.6662, 0.6662, 0.2908)

No. 13
Na2LaCr | PBE | relaxed

Output
density	3.4	Mg/m³
total moment	5.2	μB/f.u.
total energy	-3.61	eV/atom
energy relative to the elements	2.8	eV/f.u.

Cell: 5.4807 5.4807 5.4807 Å, 60.00 60.00 60.00°
Sites, in units of the cell vectors:
Na (0.2500, 0.2500, 0.2500)
Na (0.7500, 0.7500, 0.7500)
La (0.0000, 0.0000, 0.0000)
Cr (0.5000, 0.5000, 0.5000)

No. 14
SmErCu2 | PBE | relaxed

Output
density	8.4	Mg/m³
total moment	0.0	μB/f.u.
total energy	-4.60	eV/atom
E above lowest polymorph	0.0	meV/atom
energy relative to the elements	-0.9	eV/f.u.

Cell: 3.7815 4.4821 5.5013 Å, 90.00 109.68 90.00°
Sites, in units of the cell vectors:
Sm (0.0000, 0.0000, 0.0000)
Er (0.2807, 0.5000, 0.5640)
Cu (0.5749, 0.5000, 0.1491)
Cu (0.7118, 0.0000, 0.4273)

No. 15
HfNb2Tc | PBE | relaxed

Output
density	10.7	Mg/m³
total moment	0.0	μB/f.u.
total energy	-10.39	eV/atom
E above lowest polymorph	0.0	meV/atom
energy relative to the elements	-1.1	eV/f.u.

Cell: 5.5599 5.5599 5.5599 Å, 145.78 131.63 60.58°
Sites, in units of the cell vectors:
Hf (0.0000, 0.0000, 0.0000)
Nb (0.2640, 0.7640, 0.5000)
Nb (0.7360, 0.2360, 0.5000)
Tc (0.5000, 0.5000, 0.0000)

No. 16
LiPtCl | PBE | relaxed

Output
uncorrected formation energy	-0.73	eV per atom
density	6.9	Mg/m³
total moment	0.0	μB/f.u.
total energy	-4.00	eV/atom
E above lowest polymorph	98.5	meV/atom

Cell: 3.6115 5.4560 5.7747 Å, 93.16 90.14 90.13°
Sites, in units of the cell vectors:
Li (0.0000, 0.0000, 0.0000)
Li (0.0042, 0.5846, 0.5116)
Pt (0.0013, 0.4738, 0.0668)
Pt (0.5015, 0.2579, 0.2918)
Cl (0.0015, 0.0586, 0.5010)
Cl (0.5010, 0.6837, 0.8472)

No. 17
Ca3Y3CdS8 | PBE | relaxed

Output
uncorrected formation energy	-1.87	eV per atom
density	3.6	Mg/m³
total moment	0.0	μB/f.u.
total energy	-5.82	eV/atom

Cell: 7.9685 7.9685 7.9685 Å, 59.36 59.36 59.36°
Sites, in units of the cell vectors:
Ca (0.0000, 0.5000, 0.5000)
Ca (0.5000, 0.0000, 0.5000)
Ca (0.5000, 0.5000, 0.0000)
Y (0.0000, 0.0000, 0.5000)
Y (0.0000, 0.5000, 0.0000)
Y (0.5000, 0.0000, 0.0000)
Cd (0.5000, 0.5000, 0.5000)
S (0.2459, 0.7465, 0.7465)
S (0.2479, 0.2479, 0.2479)
S (0.2535, 0.2535, 0.7541)
S (0.2535, 0.7541, 0.2535)
S (0.7465, 0.2459, 0.7465)
S (0.7465, 0.7465, 0.2459)
S (0.7521, 0.7521, 0.7521)
S (0.7541, 0.2535, 0.2535)

No. 18
BaGePd2Pt2 | PBE | relaxed

Output
density	9.7	Mg/m³
total moment	0.0	μB/f.u.
total energy	-5.00	eV/atom
energy relative to the elements	-1.0	eV/f.u.

Cell: 4.7655 4.7655 6.1062 Å, 90.00 90.00 90.00°
Sites, in units of the cell vectors:
Ba (0.0000, 0.0000, 0.0000)
Ge (0.0000, 0.0000, 0.5000)
Pd (0.5000, 0.5000, 0.2634)
Pd (0.5000, 0.5000, 0.7366)
Pt (0.0000, 0.5000, 0.5000)
Pt (0.5000, 0.0000, 0.5000)

No. 19
Ac2ScIn2 | PBE | relaxed

Output
density	7.2	Mg/m³
total moment	0.0	μB/f.u.
total energy	-4.36	eV/atom
E above lowest polymorph	0.0	meV/atom
energy relative to the elements	-1.8	eV/f.u.

Cell: 6.7757 6.7757 12.1609 Å, 116.87 116.87 43.42°
Sites, in units of the cell vectors:
Ac (0.0111, 0.0111, 0.1771)
Ac (0.1868, 0.1868, 0.6039)
Ac (0.8132, 0.8132, 0.3961)
Ac (0.9889, 0.9889, 0.8229)
Sc (0.2803, 0.2803, 0.1252)
Sc (0.7197, 0.7197, 0.8748)
In (0.3620, 0.3620, 0.9312)
In (0.4864, 0.4864, 0.6161)
In (0.5136, 0.5136, 0.3839)
In (0.6380, 0.6380, 0.0688)

No. 20
LaBi3Pt | PBE | relaxed

Output
density	7.2	Mg/m³
total moment	0.0	μB/f.u.
total energy	-3.38	eV/atom
E above lowest polymorph	1309.7	meV/atom
energy relative to the elements	5.7	eV/f.u.

Cell: 6.0615 6.0615 6.0615 Å, 90.00 90.00 90.00°
Sites, in units of the cell vectors:
La (0.0000, 0.0000, 0.0000)
Bi (0.0000, 0.0000, 0.5000)
Bi (0.0000, 0.5000, 0.0000)
Bi (0.5000, 0.0000, 0.0000)
Pt (0.5000, 0.5000, 0.5000)